Record 1
{"formula": "Ti2MoW2", "functional": "PBE", "state": "optimized geometry", "relative_energy_mev_per_atom": 0, "e_form_ev_per_atom": 0.2009, "total_magnetization_mub_per_fu": 0.00, "lattice_angstrom": [[-4.604, -3.601, 1.268], [0.316, -4.516, 2.425], [-2.943, 1.429, 6.468]], "species": ["Ti", "Ti", "Ti", "Ti", "W", "W", "W", "W", "Mo", "Mo"], "frac_coords": [[0.658, 0.369, 0.704], [0.027, 0.631, 0.704], [0.342, 0.631, 0.296], [0.973, 0.369, 0.296], [0.738, 0.000, 0.430], [0.262, 0.000, 0.570], [0.406, 0.000, 0.870], [0.594, 0.000, 0.130], [0.176, 0.648, 0.000], [0.824, 0.352, 0.000]]}



Record 2
{"formula": "Ti2MoW", "functional": "PBE", "state": "optimized geometry", "e_form_ev_per_atom": -0.0616, "total_magnetization_mub_per_fu": 0.00, "lattice_angstrom": [[3.163, -0.001, -0.001], [1.581, 4.908, 0.819], [1.582, 2.144, 4.491]], "species": ["W", "Ti", "Ti", "Mo"], "frac_coords": [[0.750, 0.750, 0.750], [0.508, 0.492, 0.492], [0.992, 0.008, 0.008], [0.250, 0.250, 0.250]]}